# 1
Below is a relaxed AcZn2Hg crystal, with properties calculated at the PBE level.

Geometry as POSCAR:
```
AcZn2Hg
1.0
2.4936 -5.5658 0.0000
2.4936 5.5658 0.0000
0.0000 0.0000 6.8849
Ac Zn Hg
2 4 2
direct
0.1052 0.8948 0.7500 Ac
0.8948 0.1052 0.2500 Ac
0.3910 0.6090 0.5645 Zn
0.3910 0.6090 0.9355 Zn
0.6090 0.3910 0.0645 Zn
0.6090 0.3910 0.4355 Zn
0.2011 0.7989 0.2500 Hg
0.7989 0.2011 0.7500 Hg
```

Output
Volume, Å³ per cell: 191.11
Excess energy over the best structure of this formula in the dataset, meV/atom: 0
ΔH_f (0 K), kJ/mol of formula units: -128

---

# 2
Below is a relaxed Sm6Si19Rh30 crystal, with properties calculated at the PBE level.

Geometry as POSCAR:
```
Sm6Si19Rh30
1.0
15.7988 0.0000 0.0000
-7.8994 13.6822 0.0000
0.0000 0.0000 3.8787
Sm Si Rh
6 19 30
direct
0.0385 0.2716 0.0000 Sm
0.2330 0.9615 0.0000 Sm
0.4335 0.3701 0.5000 Sm
0.6299 0.0633 0.5000 Sm
0.7284 0.7670 0.0000 Sm
0.9367 0.5665 0.5000 Sm
0.0147 0.1071 0.5000 Si
0.0795 0.5446 0.0000 Si
0.0923 0.9853 0.5000 Si
0.2007 0.4132 0.5000 Si
0.2125 0.7993 0.5000 Si
0.2697 0.2320 0.0000 Si
0.3333 0.6667 0.4970 Si
0.3964 0.1014 0.5000 Si
0.4554 0.5349 0.0000 Si
0.4651 0.9205 0.0000 Si
0.5742 0.3481 0.0000 Si
0.5868 0.7875 0.5000 Si
0.6519 0.2261 0.0000 Si
0.7050 0.6036 0.5000 Si
0.7680 0.0376 0.0000 Si
0.7739 0.4258 0.0000 Si
0.8929 0.9077 0.5000 Si
0.8986 0.2950 0.5000 Si
0.9624 0.7303 0.0000 Si
0.0606 0.4365 0.5000 Rh
0.0705 0.8207 0.5000 Rh
0.1045 0.7125 0.0000 Rh
0.1096 0.0941 0.0000 Rh
0.1743 0.6351 0.5000 Rh
0.1793 0.2499 0.5000 Rh
0.2211 0.5272 0.0001 Rh
0.2579 0.1278 0.5000 Rh
0.2875 0.3920 0.0000 Rh
0.3061 0.7789 0.0001 Rh
0.3649 0.5391 0.5000 Rh
0.3758 0.9394 0.5000 Rh
0.4083 0.2050 0.0001 Rh
0.4609 0.8257 0.5000 Rh
0.4728 0.6939 0.0001 Rh
0.4856 0.0825 0.0000 Rh
0.5571 0.2388 0.5001 Rh
0.5635 0.6242 0.5000 Rh
0.5969 0.5144 0.0000 Rh
0.6080 0.8955 0.0000 Rh
0.6817 0.4429 0.5001 Rh
0.7501 0.9295 0.5000 Rh
0.7612 0.3183 0.5001 Rh
0.7950 0.2033 0.0001 Rh
0.7967 0.5917 0.0001 Rh
0.8698 0.7421 0.5000 Rh
0.8722 0.1302 0.5000 Rh
0.9059 0.0155 0.0000 Rh
0.9175 0.4031 0.0000 Rh
0.9845 0.8904 0.0000 Rh
```

Output
Energy relative to the elements, uncorrected, eV/atom: -1.008
Volume, Å³ per cell: 838.42

---

# 3
Below is a relaxed MgMnCd2 crystal, with properties calculated at the PBE level.

Geometry as POSCAR:
```
MgMnCd2
1.0
4.9731 -1.5390 0.0000
4.9731 1.5390 0.0000
-0.9617 0.0000 5.1125
Mg Mn Cd
1 1 2
direct
0.0000 0.0000 0.0000 Mg
0.7461 0.7461 0.2488 Mn
0.2447 0.2447 0.7534 Cd
0.4904 0.4904 0.4798 Cd
```

Output
Volume, Å³ per cell: 78.26
ΔH_f (0 K), kJ/mol of formula units: 58

---

# 4
Below is a relaxed K2ScCdGa crystal, with properties calculated at the PBE level.

Geometry as POSCAR:
```
K2ScCdGa
1.0
6.4915 0.0000 0.0000
0.0000 6.4915 0.0000
0.0000 0.0000 4.9670
K Sc Cd Ga
2 1 1 1
direct
0.0000 0.5000 0.0000 K
0.5000 0.0000 0.0000 K
0.0000 0.0000 0.5000 Sc
0.5000 0.5000 0.0000 Cd
0.5000 0.5000 0.5000 Ga
```

Output
Volume, Å³ per cell: 209.31
ΔH_f (0 K), kJ/mol of formula units: 306

---

# 5
Below is a relaxed Ba2Al6PdAu crystal, with properties calculated at the PBE level.

Geometry as POSCAR:
```
Ba2Al6PdAu
1.0
6.6773 0.0000 0.0000
3.3312 5.8041 0.0000
3.3191 1.9050 6.1086
Ba Al Pd Au
2 6 1 1
direct
0.2034 0.2008 0.3916 Ba
0.7966 0.7992 0.6084 Ba
0.2469 0.6427 0.8617 Al
0.2493 0.2457 0.8617 Al
0.3565 0.7522 0.1388 Al
0.6435 0.2478 0.8612 Al
0.7507 0.7543 0.1383 Al
0.7531 0.3573 0.1383 Al
0.0000 0.0000 0.0000 Pd
0.5000 0.5000 0.5000 Au
```

Output
Volume, Å³ per cell: 236.74
ΔH_f (0 K), kJ/mol of formula units: -430

---

# 6
Below is a relaxed CsLi2Be2 crystal, with properties calculated at the PBE level.

Geometry as POSCAR:
```
CsLi2Be2
1.0
8.2809 0.0000 0.0000
0.0000 8.2809 0.0000
0.0000 0.0000 3.3720
Cs Li Be
2 4 4
direct
0.0000 0.0000 0.0000 Cs
0.5000 0.5000 0.0000 Cs
0.1443 0.3557 0.0000 Li
0.3557 0.8557 0.0000 Li
0.6443 0.1443 0.0000 Li
0.8557 0.6443 0.0000 Li
0.0904 0.5904 0.5000 Be
0.4096 0.0904 0.5000 Be
0.5904 0.9096 0.5000 Be
0.9096 0.4096 0.5000 Be
```

Output
Volume, Å³ per cell: 231.23
Excess energy over the best structure of this formula in the dataset, meV/atom: 0
ΔH_f (0 K), kJ/mol of formula units: 328

---

# 7
Below is a relaxed HfCrIn2 crystal, with properties calculated at the PBE level.

Geometry as POSCAR:
```
HfCrIn2
1.0
4.3396 0.0000 0.0000
0.0000 4.3396 0.0000
0.0000 0.0000 4.3004
Hf Cr In
1 1 2
direct
0.0000 0.0000 0.0000 Hf
0.5000 0.5000 0.0000 Cr
0.0000 0.5000 0.5000 In
0.5000 0.0000 0.5000 In
```

Output
Volume, Å³ per cell: 80.99
Excess energy over the best structure of this formula in the dataset, meV/atom: 0
ΔH_f (0 K), kJ/mol of formula units: 47

---

# 8
Below is a relaxed Ho4SiSe2Cl crystal, with properties calculated at the PBE level.

Geometry as POSCAR:
```
Ho4SiSe2Cl
1.0
7.0146 0.0000 0.0000
0.0000 4.0560 0.0000
-2.3077 0.0000 6.6609
Ho Si Se Cl
4 1 2 1
direct
0.2377 0.0000 0.2298 Ho
0.2529 0.5000 0.7726 Ho
0.7471 0.5000 0.2274 Ho
0.7623 0.0000 0.7702 Ho
0.0000 0.5000 0.0000 Si
0.5000 0.0000 0.0000 Se
0.5000 0.5000 0.5000 Se
0.0000 0.0000 0.5000 Cl
```

Output
Energy relative to the elements, uncorrected, eV/atom: -1.417
Volume, Å³ per cell: 189.51

---

# 9
Below is a relaxed ZnCu2SnC crystal, with properties calculated at the PBE level.

Geometry as POSCAR:
```
ZnCu2SnC
1.0
4.0064 0.0000 0.0000
0.0000 4.0064 0.0000
0.0000 0.0000 4.5528
Zn Cu Sn C
1 2 1 1
direct
0.0000 0.0000 0.0000 Zn
0.0000 0.5000 0.5000 Cu
0.5000 0.0000 0.5000 Cu
0.5000 0.5000 0.0000 Sn
0.0000 0.0000 0.5000 C
```

Output
Volume, Å³ per cell: 73.08
ΔH_f (0 K), kJ/mol of formula units: 275

---

# 10
Below is a relaxed Na3TeS crystal, with properties calculated at the PBE level.

Geometry as POSCAR:
```
Na3TeS
1.0
5.2860 0.0000 0.0000
0.0000 5.2860 0.0000
0.0000 0.0000 5.2860
Na Te S
3 1 1
direct
0.0000 0.0000 0.5000 Na
0.0000 0.5000 0.0000 Na
0.5000 0.0000 0.0000 Na
0.5000 0.5000 0.5000 Te
0.0000 0.0000 0.0000 S
```

Output
Energy relative to the elements, uncorrected, eV/atom: -0.720
Volume, Å³ per cell: 147.70
Excess energy over the best structure of this formula in the dataset, meV/atom: 71

---

# 11
Below is a relaxed Al2Cr crystal, with properties calculated at the PBE level.

Geometry as POSCAR:
```
Al2Cr
1.0
1.3592 -7.0007 0.0000
1.3592 7.0007 0.0000
0.0000 0.0000 4.4995
Al Cr
4 2
direct
0.0604 0.9396 0.7500 Al
0.3759 0.6241 0.7500 Al
0.6241 0.3759 0.2500 Al
0.9396 0.0604 0.2500 Al
0.2843 0.7157 0.2500 Cr
0.7157 0.2843 0.7500 Cr
```

Output
Volume, Å³ per cell: 85.63
ΔH_f (0 K), kJ/mol of formula units: 17

---

# 12
Below is a relaxed YAs2Ir crystal, with properties calculated at the PBE level.

Geometry as POSCAR:
```
YAs2Ir
1.0
-2.2737 2.2737 8.4510
2.2737 -2.2737 8.4510
2.2737 2.2737 -8.4510
Y As Ir
2 4 2
direct
0.0000 0.0000 0.0000 Y
0.7500 0.2500 0.5000 Y
0.2197 0.6250 0.0947 As
0.3750 0.4697 0.5947 As
0.5303 0.1250 0.9053 As
0.8750 0.7803 0.4053 As
0.2500 0.7500 0.5000 Ir
0.5000 0.5000 0.0000 Ir
```

Output
Volume, Å³ per cell: 174.76
Excess energy over the best structure of this formula in the dataset, meV/atom: 366
ΔH_f (0 K), kJ/mol of formula units: -165